1.
5
Lattice="-3.267 1.545 3.958 3.216 -2.364 3.577 2.777 4.555 0.514" Properties=species:S:1:pos:R:3 comment="La3TlTc SCAN single point on PBEsol structure" crystal_system=cubic spacegroup="Pm-3m (221)" dft_energy_ev_per_atom=-47.596 e_form_ev_per_atom=-0.249 pbc="T T T"
Tc 0.000 0.000 0.000
La 1.608 -1.182 1.789
La -1.633 0.772 1.979
La 1.388 2.278 0.257
Tl 1.363 1.868 4.024

***

2.
4
Lattice="3.855 0.000 0.000 0.000 4.751 0.000 0.000 0.000 5.054" Properties=species:S:1:pos:R:3 comment="LaTl2Tc SCAN single point on PBEsol structure" relative_energy_mev_per_atom=116 crystal_system=orthorhombic spacegroup="Pmmm (47)" dft_energy_ev_per_atom=-55.434 e_form_ev_per_atom=0.286 pbc="T T T"
La 1.927 0.000 2.527
Tl 1.927 2.375 0.000
Tc 0.000 2.375 2.527
Tl 0.000 0.000 0.000

***

3.
4
Lattice="-1.688 -1.846 -1.385 2.619 -3.111 3.357 -3.458 2.994 2.624" Properties=species:S:1:pos:R:3 comment="LaTc2W SCAN single point on PBEsol structure" crystal_system=monoclinic spacegroup="C2/m (12)" dft_energy_ev_per_atom=-45.094 e_form_ev_per_atom=0.635 pbc="T T T"
Tc -1.729 1.497 1.312
La -0.844 -0.923 -0.692
Tc 1.309 -1.556 1.679
W -1.264 -0.982 2.298